Entry 1:
Material: PrAl3GaAg
Method: DFT, PBE
State: optimized geometry

Calculated values
energy: -3.7697 eV per atom

Structure (extended XYZ):
```
12
Lattice="2.943 -7.456 0.000 2.943 7.456 0.000 0.000 0.000 5.756" Properties=species:S:1:pos:R:3 pbc="T T T"
Pr 2.943 4.744 4.317
Pr 2.943 -4.744 1.439
Al 1.308 0.000 0.000
Al 1.308 0.000 2.878
Al 2.943 1.842 1.439
Al 2.943 -1.842 4.317
Al 4.578 0.000 0.000
Al 4.578 0.000 2.878
Ga 2.943 5.360 1.439
Ga 2.943 -5.360 4.317
Ag 2.943 1.659 4.317
Ag 2.943 -1.659 1.439
```

=====

Entry 2:
Material: K2BeF4
Method: DFT, PBE
State: optimized geometry

Calculated values
ΔE_f (raw): -3.044 eV per atom
energy above the lowest structure with this stoichiometry: 44 meV/atom

Structure (extended XYZ):
```
28
Lattice="9.247 0.000 0.000 0.000 5.675 0.000 0.000 0.000 9.272" Properties=species:S:1:pos:R:3 pbc="T T T"
K 0.039 1.230 0.000
K 2.167 3.753 7.670
K 2.456 0.915 3.034
K 4.585 4.067 4.636
K 4.662 1.608 0.000
K 6.791 4.759 7.670
K 7.080 1.922 3.034
K 9.208 4.445 4.636
Be 1.487 3.545 1.925
Be 3.136 0.707 6.561
Be 6.111 4.967 1.925
Be 7.760 2.130 6.561
F 0.247 2.629 2.351
F 1.044 4.938 1.423
F 2.266 0.850 7.857
F 2.274 2.732 0.837
F 2.350 5.570 5.473
F 2.357 3.688 3.221
F 3.579 2.101 6.059
F 4.377 5.466 6.987
F 4.870 0.208 2.351
F 5.667 3.573 1.423
F 6.889 1.987 7.857
F 6.897 0.105 0.837
F 6.973 2.942 5.473
F 6.981 4.824 3.221
F 8.203 0.736 6.059
F 9.000 3.045 6.987
```

=====

Entry 3:
Material: ZrNiIN2
Method: DFT, PBE
State: optimized geometry

Calculated values
ΔE_f (raw): 1.156 eV per atom
energy above the lowest structure with this stoichiometry: 471 meV/atom

Structure (extended XYZ):
```
5
Lattice="4.015 0.000 0.000 0.000 4.015 0.000 0.000 0.000 4.741" Properties=species:S:1:pos:R:3 pbc="T T T"
Zr 0.000 0.000 0.000
Ni 2.007 2.007 2.370
I 2.007 2.007 0.000
N 0.000 2.007 2.370
N 2.007 0.000 2.370
```

=====

Entry 4:
Material: TaNiAs2
Method: DFT, PBE
State: optimized geometry

Calculated values
energy: -7.1325 eV per atom

Structure (extended XYZ):
```
4
Lattice="3.076 -1.769 0.000 3.076 1.769 0.000 -0.001 0.000 5.933" Properties=species:S:1:pos:R:3 pbc="T T T"
Ta 0.000 0.000 0.000
Ni 0.000 0.000 2.967
As 2.045 0.000 4.257
As 4.106 0.000 1.677
```

=====

Entry 5:
Material: MgScCd2
Method: DFT, PBE
State: optimized geometry

Calculated values
energy: -2.5392 eV per atom

Structure (extended XYZ):
```
4
Lattice="3.618 0.000 0.000 0.000 3.618 0.000 0.000 0.000 6.793" Properties=species:S:1:pos:R:3 pbc="T T T"
Mg 0.000 0.000 0.000
Sc 1.809 1.809 1.811
Cd 0.000 0.000 3.445
Cd 1.809 1.809 5.215
```

=====

Entry 6:
Material: Li5Bi6Pt
Method: DFT, PBE
State: optimized geometry

Calculated values
energy: -3.5593 eV per atom

Structure (extended XYZ):
```
12
Lattice="2.586 -7.944 0.000 2.586 7.944 0.000 0.000 0.000 6.845" Properties=species:S:1:pos:R:3 pbc="T T T"
Li 0.000 0.000 0.000
Li 2.586 2.816 3.423
Li 2.586 2.578 0.000
Li 2.586 -2.578 0.000
Li 2.586 -2.816 3.423
Bi 2.586 5.434 1.754
Bi 2.586 5.434 5.091
Bi 2.586 0.000 1.809
Bi 2.586 0.000 5.036
Bi 2.586 -5.434 1.754
Bi 2.586 -5.434 5.091
Pt 0.000 0.000 3.423
```

=====

Entry 7:
Material: Ba2NiRu
Method: DFT, PBE
State: optimized geometry

Calculated values
energy above the lowest structure with this stoichiometry: 127 meV/atom

Structure (extended XYZ):
```
4
Lattice="-2.135 2.268 7.451 2.135 -2.268 7.451 2.135 2.268 -7.451" Properties=species:S:1:pos:R:3 pbc="T T T"
Ba 0.000 0.000 0.000
Ba 0.000 2.268 3.883
Ni 2.135 0.000 5.180
Ru 0.000 0.000 6.028
```

=====

Entry 8:
Material: Pr8Tm3
Method: DFT, PBE
State: optimized geometry

Calculated values
energy above the lowest structure with this stoichiometry: 0 meV/atom

Structure (extended XYZ):
```
11
Lattice="5.777 -2.573 0.000 5.777 2.573 0.000 -3.449 0.000 12.761" Properties=species:S:1:pos:R:3 pbc="T T T"
Pr -0.557 0.000 4.053
Pr -1.731 0.000 12.179
Pr 0.591 0.000 7.546
Pr 2.912 0.000 2.904
Pr 5.195 0.000 9.857
Pr 7.515 0.000 5.215
Pr 9.837 0.000 0.582
Pr 8.663 0.000 8.708
Tm 1.736 0.000 11.052
Tm 4.053 0.000 6.381
Tm 6.371 0.000 1.710
```

=====

Entry 9:
Material: TaNbCd
Method: DFT, PBE
State: optimized geometry

Calculated values
energy above the lowest structure with this stoichiometry: 244 meV/atom

Structure (extended XYZ):
```
6
Lattice="10.133 -1.613 0.000 10.133 1.613 0.000 -0.960 0.000 4.323" Properties=species:S:1:pos:R:3 pbc="T T T"
Ta 0.929 0.000 1.339
Ta 18.377 0.000 2.983
Nb 8.686 0.000 0.813
Nb 10.620 0.000 3.509
Cd 2.927 0.000 4.052
Cd 16.379 0.000 0.271
```

=====

Entry 10:
Material: KBiSeN2
Method: DFT, PBE
State: optimized geometry

Calculated values
ΔE_f (raw): 1.907 eV per atom
energy above the lowest structure with this stoichiometry: 939 meV/atom

Structure (extended XYZ):
```
5
Lattice="4.776 0.000 0.000 0.000 4.776 0.000 0.000 0.000 6.175" Properties=species:S:1:pos:R:3 pbc="T T T"
K 0.000 0.000 0.000
Bi 2.388 2.388 3.088
Se 0.000 0.000 3.088
N 0.000 2.388 0.000
N 2.388 0.000 0.000
```

=====

Entry 11:
Material: Si2BiW
Method: DFT, PBE
State: optimized geometry

Calculated values
ΔE_f (raw): 0.879 eV per atom

Structure (extended XYZ):
```
8
Lattice="-2.973 2.973 6.115 2.973 -2.973 6.115 2.973 2.973 -6.115" Properties=species:S:1:pos:R:3 pbc="T T T"
Si 4.460 1.143 -1.529
Si 1.143 1.487 1.529
Si -1.487 1.831 4.586
Si 1.831 1.487 7.644
Bi 2.973 0.000 3.058
Bi 0.000 0.000 6.115
W 0.000 0.000 0.000
W 0.000 2.973 3.058
```

=====

Entry 12:
Material: CdSe2Br
Method: DFT, PBE
State: optimized geometry

Calculated values
ΔE_f (raw): 0.327 eV per atom
energy above the lowest structure with this stoichiometry: 625 meV/atom

Structure (extended XYZ):
```
4
Lattice="1.575 0.909 11.604 -1.575 0.909 11.604 0.000 -1.819 11.604" Properties=species:S:1:pos:R:3 pbc="T T T"
Cd 0.000 0.000 0.000
Se 0.000 0.000 2.569
Se 0.000 0.000 32.242
Br 0.000 0.000 17.406
```

=====

Entry 13:
Material: Ti3Sb2H
Method: DFT, PBE
State: optimized geometry

Calculated values
energy above the lowest structure with this stoichiometry: 88 meV/atom

Structure (extended XYZ):
```
12
Lattice="4.817 -2.702 0.000 4.817 2.702 0.000 -3.887 0.000 7.614" Properties=species:S:1:pos:R:3 pbc="T T T"
Ti 1.902 1.732 5.710
Ti 3.617 0.707 0.156
Ti 4.074 0.707 3.651
Ti 1.673 -0.707 3.963
Ti 2.131 -0.707 7.458
Ti 3.845 -1.732 1.903
Sb -0.743 0.698 4.796
Sb 1.201 -0.698 0.989
Sb 4.547 0.698 6.625
Sb 6.490 -0.698 2.818
H 3.845 0.082 1.903
H 1.902 -0.082 5.710
```

=====

Entry 14:
Material: Al3CrCo
Method: DFT, PBE
State: optimized geometry

Calculated values
energy above the lowest structure with this stoichiometry: 0 meV/atom

Structure (extended XYZ):
```
5
Lattice="4.433 0.000 0.000 0.000 4.433 0.000 0.000 0.000 4.433" Properties=species:S:1:pos:R:3 pbc="T T T"
Al 0.000 0.000 2.216
Al 0.000 2.216 0.000
Al 2.216 0.000 0.000
Cr 2.216 2.216 2.216
Co 0.000 0.000 0.000
```

=====

Entry 15:
Material: NaTl12Sb7
Method: DFT, PBE
State: optimized geometry

Calculated values
ΔE_f (raw): -0.003 eV per atom
energy above the lowest structure with this stoichiometry: 23 meV/atom

Structure (extended XYZ):
```
20
Lattice="7.511 4.337 3.261 -7.511 4.337 3.261 0.000 -8.673 3.261" Properties=species:S:1:pos:R:3 pbc="T T T"
Na 0.000 0.000 0.000
Tl -2.392 -0.536 2.606
Tl -1.507 -3.456 4.083
Tl 1.660 -1.803 2.606
Tl -3.747 -0.423 5.701
Tl -2.239 3.033 4.083
Tl 0.731 2.339 2.606
Tl -0.731 -2.339 7.178
Tl 2.239 -3.033 5.701
Tl 3.747 0.423 4.083
Tl -1.660 1.803 7.178
Tl 1.507 3.456 5.701
Tl 2.392 0.536 7.178
Sb -4.992 2.190 2.465
Sb 0.599 -5.419 2.465
Sb -4.393 -3.228 7.318
Sb 0.000 0.000 4.892
Sb 4.393 3.228 2.465
Sb -0.599 5.419 7.318
Sb 4.992 -2.190 7.318
```

=====

Entry 16:
Material: Ho5Ga2Ge
Method: DFT, PBE
State: optimized geometry

Calculated values
energy: -4.7680 eV per atom

Structure (extended XYZ):
```
16
Lattice="-3.833 3.833 6.782 3.833 -3.833 6.782 3.833 3.833 -6.782" Properties=species:S:1:pos:R:3 pbc="T T T"
Ho 0.000 0.000 0.000
Ho 5.107 1.274 -2.012
Ho 1.274 2.559 -2.012
Ho 5.107 1.274 2.012
Ho 1.274 2.559 2.012
Ho 0.000 0.000 6.782
Ho 2.559 1.274 4.770
Ho -1.274 2.559 4.770
Ho 2.559 1.274 8.793
Ho -1.274 2.559 8.793
Ga 2.867 0.966 0.000
Ga 2.867 -0.966 6.782
Ga 0.966 4.799 0.000
Ga 0.966 2.867 6.782
Ge 0.000 0.000 3.391
Ge 0.000 0.000 10.172
```

=====

Entry 17:
Material: NaSnH2F8
Method: DFT, PBE
State: optimized geometry

Calculated values
energy: -4.1519 eV per atom

Structure (extended XYZ):
```
12
Lattice="4.429 0.000 0.000 0.000 7.928 0.000 -1.875 0.000 4.315" Properties=species:S:1:pos:R:3 pbc="T T T"
Na 0.000 0.000 0.000
Sn 0.000 3.964 0.000
H 1.277 2.385 2.157
H 1.277 5.543 2.157
F -0.282 3.964 3.243
F 0.663 2.376 1.174
F 0.663 5.552 1.174
F 0.195 0.000 3.325
F 2.358 0.000 0.990
F 1.891 2.376 3.141
F 1.891 5.552 3.141
F 2.836 3.964 1.072
```

=====

Entry 18:
Material: Na2YCr
Method: DFT, PBE
State: optimized geometry

Calculated values
energy above the lowest structure with this stoichiometry: 0 meV/atom

Structure (extended XYZ):
```
8
Lattice="-2.133 2.133 12.323 2.133 -2.133 12.323 2.133 2.133 -12.323" Properties=species:S:1:pos:R:3 pbc="T T T"
Na 3.199 0.971 -3.081
Na 0.971 1.066 3.081
Na -1.066 1.161 9.243
Na 1.161 1.066 15.404
Y 2.133 0.000 6.162
Y 0.000 0.000 12.323
Cr 0.000 0.000 0.000
Cr 0.000 2.133 6.162
```

=====

Entry 19:
Material: SrIn2CoHg
Method: DFT, PBE
State: optimized geometry

Calculated values
energy: -3.0811 eV per atom

Structure (extended XYZ):
```
5
Lattice="4.962 0.000 0.000 0.000 4.962 0.000 0.000 0.000 5.180" Properties=species:S:1:pos:R:3 pbc="T T T"
Sr 0.000 0.000 0.000
In 0.000 2.481 2.590
In 2.481 0.000 2.590
Co 2.481 2.481 2.590
Hg 2.481 2.481 0.000
```

=====

Entry 20:
Material: YFeSb2
Method: DFT, PBE
State: optimized geometry

Calculated values
ΔE_f (raw): -0.195 eV per atom

Structure (extended XYZ):
```
4
Lattice="-1.975 2.265 5.154 1.975 -2.265 5.154 1.975 2.265 -5.154" Properties=species:S:1:pos:R:3 pbc="T T T"
Y 0.000 0.000 0.000
Fe 1.975 0.000 2.910
Sb 0.000 0.000 4.814
Sb 0.000 2.265 2.432
```

=====

Entry 21:
Material: BaSrAc
Method: DFT, PBE
State: optimized geometry

Calculated values
energy above the lowest structure with this stoichiometry: 12 meV/atom

Structure (extended XYZ):
```
6
Lattice="2.919 -9.261 0.000 2.919 9.261 0.000 0.000 0.000 5.812" Properties=species:S:1:pos:R:3 pbc="T T T"
Ba 2.919 7.599 4.359
Ba 2.919 -7.599 1.453
Sr 2.919 1.691 4.359
Sr 2.919 -1.691 1.453
Ac 2.919 4.635 1.453
Ac 2.919 -4.635 4.359
```

=====

Entry 22:
Material: MgAl5O8
Method: DFT, PBE
State: optimized geometry

Calculated values
ΔE_f (raw): -2.763 eV per atom

Structure (extended XYZ):
```
14
Lattice="0.000 4.107 4.107 4.107 0.000 4.107 4.107 4.107 0.000" Properties=species:S:1:pos:R:3 pbc="T T T"
Mg 0.000 0.000 0.000
Al 3.063 3.063 3.063
Al 5.152 5.152 3.063
Al 5.152 3.063 5.152
Al 6.161 6.161 6.161
Al 3.063 5.152 5.152
O 1.143 1.143 1.143
O 2.964 2.964 1.143
O 2.964 1.143 2.964
O 5.046 3.169 3.169
O 1.143 2.964 2.964
O 3.169 5.046 3.169
O 3.169 3.169 5.046
O 5.046 5.046 5.046
```

=====

Entry 23:
Material: Sr2ScAs
Method: DFT, PBE
State: optimized geometry

Calculated values
energy: -4.0698 eV per atom

Structure (extended XYZ):
```
4
Lattice="3.787 0.000 0.000 0.000 3.787 0.000 0.000 0.000 9.304" Properties=species:S:1:pos:R:3 pbc="T T T"
Sr 0.000 0.000 0.000
Sr 1.893 1.893 3.388
Sc 1.893 1.893 6.617
As 0.000 0.000 5.831
```

=====

| no. | calculated volume (Å³/atom) |
| --- | --- |
| 1 | 21.05 |
| 2 | 17.38 |
| 3 | 15.28 |
| 4 | 16.14 |
| 5 | 22.23 |
| 6 | 23.44 |
| 7 | 36.08 |
| 8 | 34.50 |
| 9 | 23.55 |
| 10 | 28.17 |
| 11 | 27.03 |
| 12 | 24.93 |
| 13 | 16.51 |
| 14 | 17.42 |
| 15 | 31.87 |
| 16 | 24.91 |
| 17 | 12.62 |
| 18 | 28.03 |
| 19 | 25.51 |
| 20 | 23.06 |
| 21 | 52.38 |
| 22 | 9.90 |
| 23 | 33.35 |